The following is a PBE calculation of a geometry-optimized ThAlZnPt2 structure, from Alexandria via LeMat-Bulk.

Values from the calculation:
- size of the total moment (μB/f.u.) = 0.000
- electronic total energy (eV per atom) = -5.854

a b c (Å): 4.0028 4.0028 6.6960
angles (deg): 107.39 107.39 90.00
With the nearest neighbours (Å) after each atom.
Fractional coordinates of all 5 atoms:
1 Th 0.0000 0.0000 0.0000  8 Pt 3.14
2 Al 0.2500 0.7500 0.5000  4 Pt 2.61, 4 Zn 2.83
3 Zn 0.7500 0.2500 0.5000  4 Pt 2.61, 4 Al 2.83
4 Pt 0.6126 0.6126 0.2252  2 Al 2.61, 2 Zn 2.61, 1 Pt 2.73
5 Pt 0.3874 0.3874 0.7748  2 Zn 2.61, 2 Al 2.61, 1 Pt 2.73

---

The following is a PBE calculation of a geometry-optimized Th2AlZn2Pt5 structure, from Alexandria via LeMat-Bulk.

Values from the calculation:
- size of the total moment (μB/f.u.) = 0.000
- electronic total energy (eV per atom) = -5.940

a b c (Å): 3.4747 10.3007 10.3007
angles (deg): 90.00 90.00 90.00
With the nearest neighbours (Å) after each atom.
Fractional coordinates of all 20 atoms:
1 Th 0.0000 0.6769 0.1769  3 Zn 2.87-3.16, 6 Pt 3.11-3.20
2 Th 0.0000 0.3231 0.8231  3 Zn 2.87-3.16, 6 Pt 3.11-3.20
3 Th 0.0000 0.1769 0.3231  3 Zn 2.87-3.16, 6 Pt 3.11-3.20
4 Th 0.0000 0.8231 0.6769  3 Zn 2.87-3.16, 6 Pt 3.11-3.20
5 Al 0.0000 0.0000 0.0000  8 Pt 2.71
6 Al 0.0000 0.5000 0.5000  8 Pt 2.71
7 Zn 0.0000 0.1260 0.6260  6 Pt 2.53-2.65
8 Zn 0.0000 0.8740 0.3740  6 Pt 2.53-2.65
9 Zn 0.0000 0.6260 0.8740  6 Pt 2.53-2.65
10 Zn 0.0000 0.3740 0.1260  6 Pt 2.53-2.65
11 Pt 0.5000 0.1948 0.0509  2 Zn 2.65, 2 Al 2.71, 2 Pt 2.93
12 Pt 0.5000 0.8052 0.9491  2 Zn 2.65, 2 Al 2.71, 2 Pt 2.93
13 Pt 0.5000 0.0509 0.8052  2 Zn 2.65, 2 Al 2.71, 2 Pt 2.93
14 Pt 0.5000 0.6948 0.4491  2 Zn 2.65, 2 Al 2.71, 2 Pt 2.93
15 Pt 0.5000 0.9491 0.1948  2 Zn 2.65, 2 Al 2.71, 2 Pt 2.93
16 Pt 0.5000 0.3052 0.5509  2 Zn 2.65, 2 Al 2.71, 2 Pt 2.93
17 Pt 0.5000 0.5509 0.6948  2 Zn 2.65, 2 Al 2.71, 2 Pt 2.93
18 Pt 0.5000 0.4491 0.3052  2 Zn 2.65, 2 Al 2.71, 2 Pt 2.93
19 Pt 0.5000 0.5000 0.0000  4 Zn 2.53
20 Pt 0.5000 0.0000 0.5000  4 Zn 2.53

---

The following is a PBE calculation of a geometry-optimized Th2AlZn3Pt4 structure, from Alexandria via LeMat-Bulk.

Values from the calculation:
- size of the total moment (μB/f.u.) = 0.000
- electronic total energy (eV per atom) = -5.482

a b c (Å): 4.1887 4.1887 10.8835
angles (deg): 90.00 90.00 90.00
With the nearest neighbours (Å) after each atom.
Fractional coordinates of all 10 atoms:
1 Th 0.5000 0.0000 0.2454  6 Zn 3.21-3.47, 8 Pt 3.22-3.39, 2 Al 3.47
2 Th 0.0000 0.5000 0.7546  6 Zn 3.21-3.47, 8 Pt 3.22-3.39, 2 Al 3.47
3 Al 0.5000 0.5000 0.5000  4 Pt 2.58
4 Zn 0.0000 0.0000 0.5000  4 Pt 2.58
5 Zn 0.5000 0.0000 0.8671  5 Pt 2.49-2.55
6 Zn 0.0000 0.5000 0.1329  5 Pt 2.49-2.55
7 Pt 0.5000 0.5000 0.0000  4 Zn 2.55
8 Pt 0.0000 0.0000 0.0000  4 Zn 2.55
9 Pt 0.5000 0.0000 0.6381  3 Zn 2.49-2.58, 2 Al 2.58
10 Pt 0.0000 0.5000 0.3619  3 Zn 2.49-2.58, 2 Al 2.58

---

The following is a PBE calculation of a geometry-optimized Th2Al3ZnPt4 structure, from Alexandria via LeMat-Bulk.

Values from the calculation:
- size of the total moment (μB/f.u.) = 0.000
- electronic total energy (eV per atom) = -6.182

a b c (Å): 4.2843 4.2843 10.4738
angles (deg): 90.00 90.00 90.00
With the nearest neighbours (Å) after each atom.
Fractional coordinates of all 10 atoms:
1 Th 0.5000 0.0000 0.2532  8 Pt 3.23-3.41, 6 Al 3.31-3.36, 2 Zn 3.36
2 Th 0.0000 0.5000 0.7468  8 Pt 3.23-3.41, 6 Al 3.31-3.36, 2 Zn 3.36
3 Al 0.0000 0.0000 0.5000  4 Pt 2.59
4 Al 0.5000 0.0000 0.8744  5 Pt 2.46-2.51
5 Al 0.0000 0.5000 0.1256  5 Pt 2.46-2.51
6 Zn 0.5000 0.5000 0.5000  4 Pt 2.59
7 Pt 0.5000 0.5000 0.0000  4 Al 2.51
8 Pt 0.0000 0.0000 0.0000  4 Al 2.51
9 Pt 0.5000 0.0000 0.6396  3 Al 2.46-2.59, 2 Zn 2.59
10 Pt 0.0000 0.5000 0.3604  3 Al 2.46-2.59, 2 Zn 2.59

---

The following is a PBE calculation of a geometry-optimized Th2Al4Zn3Pt structure, from Alexandria via LeMat-Bulk.

Values from the calculation:
- size of the total moment (μB/f.u.) = 0.000
- electronic total energy (eV per atom) = -4.522

a b c (Å): 4.2887 4.2887 10.5232
angles (deg): 90.00 90.00 90.00
With the nearest neighbours (Å) after each atom.
Fractional coordinates of all 10 atoms:
1 Th 0.5000 0.0000 0.2545  6 Zn 3.27-3.36, 8 Al 3.29-3.43, 2 Pt 3.36
2 Th 0.0000 0.5000 0.7455  6 Zn 3.27-3.36, 8 Al 3.29-3.43, 2 Pt 3.36
3 Al 0.5000 0.5000 0.0000  4 Zn 2.59
4 Al 0.0000 0.0000 0.0000  4 Zn 2.59
5 Al 0.5000 0.0000 0.6253  3 Zn 2.48-2.52, 2 Pt 2.52
6 Al 0.0000 0.5000 0.3747  3 Zn 2.48-2.52, 2 Pt 2.52
7 Zn 0.0000 0.0000 0.5000  4 Al 2.52
8 Zn 0.5000 0.0000 0.8612  5 Al 2.48-2.59
9 Zn 0.0000 0.5000 0.1388  5 Al 2.48-2.59
10 Pt 0.5000 0.5000 0.5000  4 Al 2.52

---

The following is a PBE calculation of a geometry-optimized Ti2Al8Pt structure, from Alexandria via LeMat-Bulk.

Values from the calculation:
- size of the total moment (μB/f.u.) = 0.000
- electronic total energy (eV per atom) = -5.090

a b c (Å): 4.0245 5.6383 9.3382
angles (deg): 113.81 102.44 90.00
With the nearest neighbours (Å) after each atom.
Fractional coordinates of all 11 atoms:
1 Ti 0.8036 0.1933 0.6072  10 Al 2.69-2.98
2 Ti 0.1964 0.8067 0.3928  10 Al 2.69-2.98
3 Al 0.3921 0.5404 0.7841  1 Pt 2.52, 2 Ti 2.81, 1 Al 2.81
4 Al 0.6363 0.9891 0.2727  1 Pt 2.51, 3 Ti 2.69-2.78, 5 Al 2.73-2.81
5 Al 0.7841 0.6684 0.5683  5 Al 2.69-2.93, 4 Ti 2.83-2.87
6 Al 0.9715 0.2312 0.9431  2 Pt 2.56, 3 Al 2.73-2.77
7 Al 0.2159 0.3316 0.4317  5 Al 2.69-2.93, 4 Ti 2.83-2.87
8 Al 0.3637 0.0109 0.7273  1 Pt 2.51, 3 Ti 2.69-2.78, 5 Al 2.73-2.81
9 Al 0.6079 0.4596 0.2159  1 Pt 2.52, 2 Ti 2.81, 1 Al 2.81
10 Al 0.0285 0.7688 0.0569  2 Pt 2.56, 3 Al 2.73-2.77
11 Pt 0.5000 0.0000 0.0000  8 Al 2.51-2.56